Crystalline BeHgRh at its relaxed geometry, computed with GGA-PBEsol.

Values from the calculation:
- magnetization (μB/f.u.) = 0.00
- crystal system = hexagonal
- calculated formation energy (eV/f.u.) = 0.0
- calculated volume (Å³/cell) = 42.8
- mass density (Mg/m³) = 12.125

Cell: 3.2003 3.9296 3.9296 Å, 120.00 90.00 90.00°
Last column: nearest neighbours and their distance in Å.
Fractional positions:
Be 0.5000 0.0000 0.0000  3 Rh 2.27
Rh 0.5000 0.6667 0.3333  3 Be 2.27
Hg 0.0000 0.3333 0.6667  6 Rh 2.78, 6 Be 2.78

***

Crystalline BeHg2Ru at its relaxed geometry, computed with GGA-PBEsol.

Values from the calculation:
- magnetization (μB/f.u.) = 0.00
- crystal system = tetragonal
- calculated formation energy (eV/f.u.) = 0.7
- calculated volume (Å³/cell) = 63.5
- mass density (Mg/m³) = 13.379

Cell: 3.0206 3.0206 6.9549 Å, 90.00 90.00 90.00°
Last column: nearest neighbours and their distance in Å.
Fractional positions:
Be 0.5000 0.5000 0.6846  4 Ru 2.29
Hg 0.0000 0.0000 0.9616  1 Ru 2.76, 4 Be 2.88, 4 Hg 3.02
Hg 0.5000 0.5000 0.2891  1 Be 2.75, 4 Ru 2.87, 4 Hg 3.02
Ru 0.0000 0.0000 0.5647  4 Be 2.29

***

Crystalline Be4HgRu at its relaxed geometry, computed with GGA-PBEsol.

Values from the calculation:
- magnetization (μB/f.u.) = 0.00
- crystal system = cubic
- calculated formation energy (eV/f.u.) = 0.2
- calculated volume (Å³/cell) = 63.1
- mass density (Mg/m³) = 8.880

Cell: 4.4699 4.4699 4.4699 Å, 60.00 60.00 60.00°
Last column: nearest neighbours and their distance in Å.
Fractional positions:
Ru 0.0000 0.0000 0.0000  12 Be 2.62, 4 Hg 2.74
Be 0.6272 0.6272 0.1185  6 Be 2.20-2.27
Be 0.6272 0.1185 0.6272  6 Be 2.20-2.27
Be 0.6272 0.6272 0.6272  6 Be 2.20-2.27
Be 0.1185 0.6272 0.6272  6 Be 2.20-2.27
Hg 0.2500 0.2500 0.2500  12 Be 2.62, 4 Ru 2.74

***

Crystalline BeHg2Ru at its relaxed geometry, computed with GGA-PBEsol.

Values from the calculation:
- magnetization (μB/f.u.) = 0.47
- crystal system = tetragonal
- calculated formation energy (eV/f.u.) = 2.1
- calculated volume (Å³/cell) = 63.6
- mass density (Mg/m³) = 13.350

Cell: 3.8938 3.8938 5.0172 Å, 112.83 112.83 90.00°
Last column: nearest neighbours and their distance in Å.
Fractional positions:
Hg 0.2500 0.7500 0.5000  4 Hg 2.75, 4 Ru 2.86, 4 Be 2.86
Hg 0.7500 0.2500 0.5000  4 Hg 2.75, 4 Ru 2.86, 4 Be 2.86
Be 0.0000 0.0000 0.0000  4 Ru 2.75, 8 Hg 2.86
Ru 0.5000 0.5000 0.0000  4 Be 2.75, 8 Hg 2.86

***

Crystalline BeHg2Ru at its relaxed geometry, computed with GGA-PBEsol.

Values from the calculation:
- magnetization (μB/f.u.) = 0.00
- crystal system = tetragonal
- calculated formation energy (eV/f.u.) = 1.6
- calculated volume (Å³/cell) = 62.6
- mass density (Mg/m³) = 13.571

Cell: 3.9599 3.9599 3.9895 Å, 90.00 90.00 90.00°
Last column: nearest neighbours and their distance in Å.
Fractional positions:
Hg 0.5000 0.0000 0.0000  4 Hg 2.80, 4 Ru 2.81, 4 Be 2.81
Hg 0.0000 0.5000 0.0000  4 Hg 2.80, 4 Ru 2.81, 4 Be 2.81
Ru 0.5000 0.5000 0.5000  4 Be 2.80, 8 Hg 2.81
Be 0.0000 0.0000 0.5000  4 Ru 2.80, 8 Hg 2.81

***

Crystalline Be2HgRu at its relaxed geometry, computed with GGA-PBEsol.

Values from the calculation:
- magnetization (μB/f.u.) = 0.00
- crystal system = orthorhombic
- calculated formation energy (eV/f.u.) = 0.5
- calculated volume (Å³/cell) = 50.8
- mass density (Mg/m³) = 10.445

Cell: 3.1739 3.4159 5.2347 Å, 109.01 107.65 90.00°
Last column: nearest neighbours and their distance in Å.
Fractional positions:
Hg 0.5262 0.5255 0.0523  6 Be 2.45-2.73
Be 0.7530 0.2535 0.5060  4 Ru 2.34, 2 Be 2.49-2.50
Be 0.9470 0.9468 0.8940  2 Ru 2.27, 4 Hg 2.45, 2 Be 2.49-2.50
Ru 0.2739 0.7741 0.5477  6 Be 2.27-2.34

***

Crystalline BeHgRu2 at its relaxed geometry, computed with GGA-PBEsol.

Values from the calculation:
- magnetization (μB/f.u.) = 0.91
- crystal system = orthorhombic
- calculated formation energy (eV/f.u.) = 2.0
- calculated volume (Å³/cell) = 57.1
- mass density (Mg/m³) = 11.977

Cell: 2.7357 2.7357 8.6249 Å, 90.00 90.00 117.83°
Last column: nearest neighbours and their distance in Å.
Fractional positions:
Be 0.0000 0.0000 0.5233  2 Ru 2.28
Hg 0.5000 0.5000 0.2678  2 Be 2.62, 6 Hg 2.74-2.83, 2 Ru 2.87
Ru 0.5000 0.5000 0.7303  2 Be 2.28
Ru 0.0000 0.0000 0.9785  8 Ru 2.56-2.83, 2 Hg 2.87

***

Crystalline BeHg2Ru at its relaxed geometry, computed with GGA-PBEsol.

Values from the calculation:
- magnetization (μB/f.u.) = 0.10
- crystal system = tetragonal
- calculated formation energy (eV/f.u.) = 2.1
- calculated volume (Å³/cell) = 61.6
- mass density (Mg/m³) = 13.792

Cell: 3.1215 3.1215 6.3175 Å, 90.00 90.00 90.00°
Last column: nearest neighbours and their distance in Å.
Fractional positions:
Ru 0.5000 0.5000 0.0000  8 Hg 2.79, 4 Ru 3.12
Hg 0.0000 0.0000 0.2695  4 Be 2.64, 4 Ru 2.79, 1 Hg 2.91
Hg 0.0000 0.0000 0.7305  4 Be 2.64, 4 Ru 2.79, 1 Hg 2.91
Be 0.5000 0.5000 0.5000  8 Hg 2.64